1.
ZrAl2Fe2: relaxed, PBE.

Lattice parameters (Å, degrees): 6.285 6.285 6.285 145.82 145.82 49.11
Fractional positions:
Zr  0.000  0.000  0.000
Al  0.390  0.390  0.000
Al  0.610  0.610  0.000
Fe  0.250  0.750  0.500
Fe  0.750  0.250  0.500

- Energy above the lowest structure with this stoichiometry: 41 meV per atom
- ρ: 5.470 Mg/m³


2.
ZrAl2Fe: relaxed, PBE.

Lattice parameters (Å, degrees): 9.285 9.285 9.285 18.00 18.00 18.00
Fractional positions:
Zr  0.000  0.000  0.000
Al  0.240  0.240  0.240
Al  0.760  0.760  0.760
Fe  0.500  0.500  0.500

- VASP energy: -24.71 eV per cell
- ρ: 5.004 Mg/m³


3.
ZrAl2Fe: relaxed, PBE.

Lattice parameters (Å, degrees): 2.974 2.974 6.977 90.00 90.00 90.00
Fractional positions:
Zr  0.000  0.000  0.000
Al  0.500  0.500  0.308
Al  0.500  0.500  0.692
Fe  0.000  0.000  0.500

- VASP energy: -25.96 eV per cell
- ρ: 5.409 Mg/m³


4.
ZrAl2Fe: relaxed, PBE.

Lattice parameters (Å, degrees): 5.086 5.086 2.807 90.00 90.00 112.15
Fractional positions:
Zr  0.000  0.000  0.000
Al  0.000  0.500  0.500
Al  0.500  0.000  0.500
Fe  0.500  0.500  0.000

- VASP energy: -25.06 eV per cell
- ρ: 4.963 Mg/m³


5.
Zr2AlFe: relaxed, PBE.

Lattice parameters (Å, degrees): 5.399 5.399 5.399 136.88 136.88 62.63
Fractional positions:
Zr  0.000  0.000  0.000
Zr  0.750  0.250  0.500
Al  0.250  0.750  0.500
Fe  0.500  0.500  0.000

- VASP energy: -29.80 eV per cell
- ρ: 6.065 Mg/m³


6.
ZrAl2Fe9: relaxed, PBE.

Lattice parameters (Å, degrees): 8.203 8.203 8.203 34.15 34.15 34.15
Fractional positions:
Zr  0.000  0.000  0.000
Al  0.142  0.142  0.142
Al  0.858  0.858  0.858
Fe  0.080  0.590  0.590
Fe  0.334  0.334  0.334
Fe  0.410  0.410  0.920
Fe  0.410  0.920  0.410
Fe  0.500  0.500  0.500
Fe  0.590  0.080  0.590
Fe  0.590  0.590  0.080
Fe  0.666  0.666  0.666
Fe  0.920  0.410  0.410

- VASP energy: -93.56 eV per cell
- ρ: 6.938 Mg/m³


> The lowest ρ belongs to which entry?

number 4


> ρ of number 3 (ZrAl2Fe)?

5.409 Mg/m³


> The highest ρ belongs to which entry?

ZrAl2Fe9


> Which value of ρ does entry 1 give?

5.470 Mg/m³